No. 1
GGA-PBEsol Ti3MnO8, optimized geometry; magnetic moment = 6.00 Bohr magnetons per cell; total energy = -0.33102 hartree per atom; V = 259.8 Å³ per cell
1.0
5.876 0.000 0.000
-2.938 5.089 0.000
0.000 0.000 8.690
Ti Mn O
6 2 16
direct
0.167 0.334 0.000
0.167 0.833 0.000
0.334 0.167 0.500
0.666 0.833 0.000
0.833 0.167 0.500
0.833 0.666 0.500
0.333 0.667 0.724
0.667 0.333 0.224
0.000 0.000 0.392
0.000 0.000 0.892
0.053 0.527 0.861
0.175 0.350 0.602
0.175 0.825 0.602
0.333 0.667 0.113
0.350 0.175 0.102
0.473 0.527 0.861
0.473 0.947 0.861
0.527 0.053 0.361
0.527 0.473 0.361
0.650 0.825 0.602
0.667 0.333 0.613
0.825 0.175 0.102
0.825 0.650 0.102
0.947 0.473 0.361

=====

No. 2
GGA-PBEsol TiMn2O6, optimized geometry; polymorph energy (0 for the lowest one) = 0.000 eV/atom; magnetic moment = 6.00 Bohr magnetons per cell; V = 102.4 Å³ per cell
1.0
6.302 -1.445 0.000
6.302 1.445 0.000
-1.364 0.000 5.623
Ti Mn O
1 2 6
direct
0.000 0.000 0.000
0.332 0.332 0.665
0.668 0.668 0.335
0.160 0.160 0.117
0.178 0.178 0.555
0.487 0.487 0.769
0.513 0.513 0.231
0.822 0.822 0.445
0.840 0.840 0.883